[1]
DFT (GGA-PBE) results for DyThGaPt after structural relaxation.

Values from the calculation:
Its space group is Amm2, No. 38. The polymorph energy (0 for the lowest one) is 0 meV per atom.

```
DyThGaPt
1.0
4.472 0.000 0.000
0.000 2.015 5.356
0.000 -2.015 5.356
Dy Th Ga Pt
1 1 1 1
Cartesian
0.000 0.000 0.000 Dy
2.236 0.000 3.027 Th
0.000 0.000 7.653 Ga
2.236 0.000 5.977 Pt
```


[2]
DFT (GGA-PBE) results for Mg2ZrPd8 after structural relaxation.

Values from the calculation:
Its space group is C2/m, No. 12.

```
Mg2ZrPd8
1.0
7.158 -2.041 0.000
7.158 2.041 0.000
-1.846 0.000 6.066
Mg Zr Pd
2 1 8
Cartesian
2.896 0.000 0.924 Mg
9.574 0.000 5.142 Mg
6.235 0.000 3.033 Zr
0.183 0.000 1.366 Pd
0.734 0.000 4.166 Pd
3.497 0.000 3.539 Pd
5.727 0.000 0.254 Pd
6.743 0.000 5.812 Pd
8.973 0.000 2.527 Pd
11.736 0.000 1.900 Pd
12.287 0.000 4.699 Pd
```


[3]
DFT (GGA-PBE) results for AgAsIr after structural relaxation.

Values from the calculation:
Its space group is P3m1, No. 156. The polymorph energy (0 for the lowest one) is 145 meV per atom.

```
AgAsIr
1.0
2.975 0.000 0.000
-1.487 2.576 0.000
0.000 0.000 6.803
Ag As Ir
1 1 1
Cartesian
0.000 0.000 0.000 Ag
1.487 0.859 2.647 As
0.000 1.717 4.450 Ir
```


[4]
DFT (GGA-PBE) results for Tl2FeIrW after structural relaxation.

Values from the calculation:
Its space group is P4/mmm, No. 123.

```
Tl2FeIrW
1.0
5.110 0.000 0.000
0.000 5.110 0.000
0.000 0.000 4.437
Tl Fe Ir W
2 1 1 1
Cartesian
0.000 2.555 0.000 Tl
2.555 0.000 0.000 Tl
0.000 0.000 2.219 Fe
0.000 0.000 0.000 Ir
2.555 2.555 2.219 W
```


[5]
DFT (GGA-PBE) results for LiBIrPd2 after structural relaxation.

Values from the calculation:
Its space group is P4/mmm, No. 123.

```
LiBIrPd2
1.0
4.175 0.000 0.000
0.000 4.175 0.000
0.000 0.000 4.080
Li B Ir Pd
1 1 1 2
Cartesian
0.000 0.000 0.000 Li
2.087 2.087 2.040 B
2.087 2.087 0.000 Ir
0.000 2.087 2.040 Pd
2.087 0.000 2.040 Pd
```


[6]
DFT (GGA-PBE) results for SeN2F after structural relaxation.

Values from the calculation:
Its space group is Fm-3m, No. 225. The polymorph energy (0 for the lowest one) is 513 meV per atom.

```
SeN2F
1.0
0.000 2.719 2.719
2.719 0.000 2.719
2.719 2.719 0.000
Se N F
1 2 1
Cartesian
0.000 0.000 0.000 Se
1.359 1.359 1.359 N
4.078 4.078 4.078 N
2.719 2.719 2.719 F
```


| no. | DFT total energy (eV per atom) |
| --- | --- |
| 1 | -6.14 |
| 2 | -5.44 |
| 3 | -5.30 |
| 4 | -5.03 |
| 5 | -5.75 |
| 6 | -3.68 |